DFT (PBE) results for an optimized crystal structure of HfTlCr2Os.

Calculated values
* electronic total energy: -0.4846 Ry per atom
* symmetry: No. 123
* formation enthalpy at 0 K: 45.3 kcal/mol of atoms

```
HfTlCr2Os
1.0
-0.096 -0.402 -4.562
0.631 -4.820 0.412
-4.541 -0.582 0.147
Hf Tl Os Cr
1 1 1 2
Direct
0.000 0.000 0.000 Hf
0.500 0.500 0.500 Tl
0.000 0.500 0.000 Os
0.000 0.000 0.500 Cr
0.500 0.000 0.000 Cr
```